1.
Computed, not measured: an optimized crystal structure of ScPd5Au6 at the PBE-GGA level of DFT.

Structure (POSCAR):
```
ScPd5Au6
1.0
-2.043 4.056 6.122
2.043 -4.056 6.122
2.043 4.056 -6.122
Sc Pd Au
1 5 6
direct
0.000 0.000 0.000
0.158 0.658 0.500
0.331 0.331 0.000
0.500 0.000 0.500
0.669 0.669 0.000
0.842 0.342 0.500
0.085 0.832 0.253
0.258 0.500 0.758
0.421 0.168 0.253
0.579 0.832 0.747
0.742 0.500 0.242
0.915 0.168 0.747
```

Energy of formation from the pure elements, eV/atom: -0.318

2.
Computed, not measured: an optimized crystal structure of Sc2PdAu at the PBE-GGA level of DFT.

Structure (POSCAR):
```
Sc2PdAu
1.0
0.000 3.355 3.393
3.327 0.000 3.393
3.327 3.355 0.000
Sc Pd Au
2 1 1
direct
0.250 0.250 0.250
0.750 0.750 0.750
0.000 0.000 0.000
0.500 0.500 0.500
```

Energy of formation from the pure elements, eV/atom: -0.845

3.
Computed, not measured: an optimized crystal structure of Sc4PdAu3 at the PBE-GGA level of DFT.

Structure (POSCAR):
```
Sc4PdAu3
1.0
3.392 0.000 0.000
0.000 4.783 0.000
0.000 0.000 9.542
Sc Pd Au
4 1 3
direct
0.000 0.000 0.000
0.000 0.000 0.500
0.000 0.500 0.244
0.000 0.500 0.756
0.500 0.500 0.000
0.500 0.000 0.248
0.500 0.000 0.752
0.500 0.500 0.500
```

Energy of formation from the pure elements, eV/atom: -0.824

4.
Computed, not measured: an optimized crystal structure of Sc2Pd3Au3 at the PBE-GGA level of DFT.

Structure (POSCAR):
```
Sc2Pd3Au3
1.0
2.322 -4.763 0.000
2.322 4.763 0.000
0.000 0.000 13.271
Sc Pd Au
4 6 6
direct
0.238 0.762 0.608
0.238 0.762 0.892
0.762 0.238 0.108
0.762 0.238 0.392
0.397 0.603 0.067
0.397 0.603 0.433
0.441 0.559 0.750
0.559 0.441 0.250
0.603 0.397 0.567
0.603 0.397 0.933
0.083 0.917 0.086
0.083 0.917 0.414
0.257 0.743 0.250
0.743 0.257 0.750
0.917 0.083 0.586
0.917 0.083 0.914
```

Energy of formation from the pure elements, eV/atom: -0.607
ΔE to the lowest computed polymorph, eV/f.u.: 0.648

5.
Computed, not measured: an optimized crystal structure of ScPd6Au at the PBE-GGA level of DFT.

Structure (POSCAR):
```
ScPd6Au
1.0
4.038 -2.643 0.000
4.038 2.643 0.000
-2.190 0.000 6.867
Sc Pd Au
1 6 1
direct
0.000 0.000 0.000
0.040 0.555 0.194
0.141 0.141 0.437
0.445 0.960 0.806
0.555 0.040 0.194
0.859 0.859 0.563
0.960 0.445 0.806
0.500 0.500 0.500
```

Energy of formation from the pure elements, eV/atom: -0.141
ΔE to the lowest computed polymorph, eV/f.u.: 2.471

6.
Computed, not measured: an optimized crystal structure of Sc3Pd2Au2 at the PBE-GGA level of DFT.

Structure (POSCAR):
```
Sc3Pd2Au2
1.0
4.308 0.000 0.000
-2.148 4.541 0.000
-0.010 -1.373 6.600
Sc Pd Au
3 2 2
direct
0.000 0.000 0.000
0.395 0.790 0.299
0.605 0.210 0.701
0.131 0.263 0.426
0.869 0.737 0.574
0.308 0.616 0.863
0.692 0.384 0.137
```

Energy of formation from the pure elements, eV/atom: -0.767

7.
Computed, not measured: an optimized crystal structure of ScPdAu4 at the PBE-GGA level of DFT.

Structure (POSCAR):
```
ScPdAu4
1.0
0.000 3.842 3.842
3.842 0.000 3.842
3.842 3.842 0.000
Sc Pd Au
1 1 4
direct
0.000 0.000 0.000
0.750 0.750 0.750
0.375 0.375 0.375
0.375 0.375 0.874
0.375 0.874 0.375
0.874 0.375 0.375
```

Energy of formation from the pure elements, eV/atom: -0.293
ΔE to the lowest computed polymorph, eV/f.u.: 1.033

8.
Computed, not measured: an optimized crystal structure of ScPd4Au at the PBE-GGA level of DFT.

Structure (POSCAR):
```
ScPd4Au
1.0
0.000 3.716 3.716
3.716 0.000 3.716
3.716 3.716 0.000
Sc Pd Au
1 4 1
direct
0.000 0.000 0.000
0.375 0.375 0.375
0.375 0.375 0.875
0.375 0.875 0.375
0.875 0.375 0.375
0.750 0.750 0.750
```

Energy of formation from the pure elements, eV/atom: -0.448
ΔE to the lowest computed polymorph, eV/f.u.: 0.833

9.
Computed, not measured: an optimized crystal structure of ScPd8Au2 at the PBE-GGA level of DFT.

Structure (POSCAR):
```
ScPd8Au2
1.0
4.074 -5.392 0.000
4.074 5.392 0.000
0.000 0.000 4.321
Sc Pd Au
1 8 2
direct
0.000 0.000 0.000
0.036 0.299 0.500
0.238 0.762 0.000
0.299 0.036 0.500
0.328 0.328 0.000
0.672 0.672 0.000
0.701 0.964 0.500
0.762 0.238 0.000
0.964 0.701 0.500
0.375 0.625 0.500
0.625 0.375 0.500
```

Energy of formation from the pure elements, eV/atom: -0.166
ΔE to the lowest computed polymorph, eV/f.u.: 0.000

10.
Computed, not measured: an optimized crystal structure of Sc3PdAu2 at the PBE-GGA level of DFT.

Structure (POSCAR):
```
Sc3PdAu2
1.0
3.392 0.000 0.000
0.000 3.392 0.000
0.000 0.000 10.014
Sc Pd Au
3 1 2
direct
0.000 0.000 0.000
0.000 0.000 0.339
0.000 0.000 0.661
0.500 0.500 0.500
0.500 0.500 0.171
0.500 0.500 0.829
```

Energy of formation from the pure elements, eV/atom: -0.834

11.
Computed, not measured: an optimized crystal structure of Sc2PdAu at the PBE-GGA level of DFT.

Structure (POSCAR):
```
Sc2PdAu
1.0
3.338 0.000 0.000
0.000 3.338 0.000
0.000 0.000 6.806
Sc Pd Au
2 1 1
direct
0.000 0.000 0.246
0.000 0.000 0.754
0.500 0.500 0.000
0.500 0.500 0.500
```

Energy of formation from the pure elements, eV/atom: -0.848

12.
Computed, not measured: an optimized crystal structure of Sc4Pd3Au2 at the PBE-GGA level of DFT.

Structure (POSCAR):
```
Sc4Pd3Au2
1.0
4.354 -2.221 0.000
4.354 2.221 0.000
-1.329 0.000 8.567
Sc Pd Au
4 3 2
direct
0.039 0.039 0.340
0.349 0.349 0.114
0.651 0.651 0.886
0.961 0.961 0.660
0.000 0.000 0.000
0.344 0.344 0.441
0.656 0.656 0.559
0.305 0.305 0.781
0.695 0.695 0.219
```

Energy of formation from the pure elements, eV/atom: -0.788